1.
The following is a PBE calculation of crystalline Be3TcCl at its relaxed geometry, from Alexandria via LeMat-Bulk.

Results
ΔE to the lowest computed polymorph ... 0 meV/atom
E_form (uncorrected) ... 549 kJ/mol of formula units
DOS(E_F) ... 0.00 states/eV per atom
Magnetization ... 0.00 Bohr magnetons per cell
Crystal system ... cubic

Structure (CIF):
```
data_Be3TcCl
_cell_length_a 3.979
_cell_length_b 3.979
_cell_length_c 3.979
_cell_angle_alpha 90.00
_cell_angle_beta 90.00
_cell_angle_gamma 90.00
_space_group_name_H-M_alt 'P m -3 m'
_space_group_IT_number 221
_space_group_name_Hall '-P 4 2 3'
loop_
_atom_site_label
_atom_site_type_symbol
_atom_site_fract_x
_atom_site_fract_y
_atom_site_fract_z
_atom_site_occupancy
Be1 Be 0.000 0.000 0.500 1
Tc1 Tc 0.500 0.500 0.500 1
Cl1 Cl 0.000 0.000 0.000 1
```

---

2.
The following is a PBE calculation of crystalline NaMg2SnRh at its relaxed geometry, from Alexandria via LeMat-Bulk.

Results
VASP energy ... -3.4202 eV/atom
DOS(E_F) ... 0.30 states/eV per atom
Magnetization ... 0.00 Bohr magnetons per cell
Crystal system ... tetragonal

Structure (CIF):
```
data_NaMg2SnRh
_cell_length_a 5.053
_cell_length_b 5.053
_cell_length_c 5.047
_cell_angle_alpha 90.00
_cell_angle_beta 90.00
_cell_angle_gamma 90.00
_space_group_name_H-M_alt 'P 4/m m m'
_space_group_IT_number 123
_space_group_name_Hall '-P 4 2'
loop_
_atom_site_label
_atom_site_type_symbol
_atom_site_fract_x
_atom_site_fract_y
_atom_site_fract_z
_atom_site_occupancy
Na1 Na 0.000 0.000 0.000 1
Mg1 Mg 0.000 0.500 0.500 1
Sn1 Sn 0.500 0.500 0.000 1
Rh1 Rh 0.500 0.500 0.500 1
```

---

3.
The following is a PBE calculation of crystalline BeSiTe at its relaxed geometry, from Alexandria via LeMat-Bulk.

Results
ΔE to the lowest computed polymorph ... 454 meV/atom
E_form (uncorrected) ... 117 kJ/mol of formula units
DOS(E_F) ... 0.34 states/eV per atom
Magnetization ... 0.00 Bohr magnetons per cell
Crystal system ... trigonal

Structure (CIF):
```
data_BeSiTe
_cell_length_a 3.6832
_cell_length_b 3.6832
_cell_length_c 4.7716
_cell_angle_alpha 90.00
_cell_angle_beta 90.00
_cell_angle_gamma 120.00
_space_group_name_H-M_alt 'P 3 m 1'
_space_group_IT_number 156
loop_
_space_group_symop_operation_xyz
'x,y,z'
'-y,x-y,z'
'-x+y,-x,z'
'-y,-x,z'
'-x+y,y,z'
'x,x-y,z'
loop_
_atom_site_label
_atom_site_type_symbol
_atom_site_fract_x
_atom_site_fract_y
_atom_site_fract_z
_atom_site_occupancy
Be1 Be 0.0000 0.0000 0.0000 1
Si1 Si 0.3333 0.6667 0.2472 1
Te1 Te 0.6667 0.3333 0.7100 1
```

---

4.
The following is a PBE calculation of crystalline TbCePa at its relaxed geometry, from Alexandria via LeMat-Bulk.

Results
ΔE to the lowest computed polymorph ... 104 meV/atom
DOS(E_F) ... 3.02 states/eV per atom
Magnetization ... 0.23 Bohr magnetons per cell
Crystal system ... hexagonal

Structure (CIF):
```
data_TbCePa
_cell_length_a 5.3699
_cell_length_b 5.3699
_cell_length_c 3.3223
_cell_angle_alpha 90.00
_cell_angle_beta 90.00
_cell_angle_gamma 120.00
_space_group_name_H-M_alt 'P -6 m 2'
_space_group_IT_number 187
_space_group_name_Hall 'P -6 2'
loop_
_atom_site_label
_atom_site_type_symbol
_atom_site_fract_x
_atom_site_fract_y
_atom_site_fract_z
_atom_site_occupancy
Tb1 Tb 0.0000 0.0000 0.0000 1
Ce1 Ce 0.6667 0.3333 0.5000 1
Pa1 Pa 0.3333 0.6667 0.5000 1
```